# AsC2F GGA-PBE relaxed
# - size of the total moment (μB/atom) = 0.000
# - formation energy from raw total energies (eV per atom) = 1.777
# - density (Mg/m³) = 3.65
data_AsC2F
_chemical_formula_sum 'As4 C8 F4'
_cell_length_a 4.816
_cell_length_b 4.816
_cell_length_c 9.264
_cell_angle_alpha 90.00
_cell_angle_beta 90.00
_cell_angle_gamma 90.00
_symmetry_space_group_name_H-M 'I -4 2 d'
_symmetry_Int_Tables_number 122
_symmetry_space_group_name_Hall 'I -4 2bw'
loop_
_atom_site_label
_atom_site_type_symbol
_atom_site_fract_x
_atom_site_fract_y
_atom_site_fract_z
As1 As 0.000 0.000 0.000
C1 C 0.202 0.250 0.125
F1 F 0.000 0.000 0.500

=====

# Sm4MgCd5 GGA-PBE relaxed
# - size of the total moment (μB/atom) = 0.064
# - calculated total energy (eV/atom) = -2.787
# - density (Mg/m³) = 7.43
data_Sm4MgCd5
_chemical_formula_sum 'Sm4 Mg1 Cd5'
_cell_length_a 3.757
_cell_length_b 3.757
_cell_length_c 18.809
_cell_angle_alpha 90.00
_cell_angle_beta 90.00
_cell_angle_gamma 90.00
_symmetry_space_group_name_H-M 'P 4/m m m'
_symmetry_Int_Tables_number 123
_symmetry_space_group_name_Hall '-P 4 2'
loop_
_atom_site_label
_atom_site_type_symbol
_atom_site_fract_x
_atom_site_fract_y
_atom_site_fract_z
Sm1 Sm 0.000 0.000 0.103
Sm2 Sm 0.000 0.000 0.309
Mg1 Mg 0.000 0.000 0.500
Cd1 Cd 0.500 0.500 0.000
Cd2 Cd 0.500 0.500 0.206
Cd3 Cd 0.500 0.500 0.414

=====

# Au3SF GGA-PBE relaxed
# - size of the total moment (μB/atom) = 0.000
# - formation energy from raw total energies (eV per atom) = 0.079
# - density (Mg/m³) = 10.15
data_Au3SF
_chemical_formula_sum 'Au3 S1 F1'
_cell_length_a 4.719
_cell_length_b 4.719
_cell_length_c 4.719
_cell_angle_alpha 90.00
_cell_angle_beta 90.00
_cell_angle_gamma 90.00
_symmetry_space_group_name_H-M 'P m -3 m'
_symmetry_Int_Tables_number 221
_symmetry_space_group_name_Hall '-P 4 2 3'
loop_
_atom_site_label
_atom_site_type_symbol
_atom_site_fract_x
_atom_site_fract_y
_atom_site_fract_z
Au1 Au 0.000 0.000 0.500
S1 S 0.000 0.000 0.000
F1 F 0.500 0.500 0.500

=====

# LiCePt2 GGA-PBE relaxed
# - size of the total moment (μB/atom) = 0.071
# - calculated total energy (eV/atom) = -5.820
# - density (Mg/m³) = 12.14
data_LiCePt2
_chemical_formula_sum 'Li1 Ce1 Pt2'
_cell_length_a 3.411
_cell_length_b 3.411
_cell_length_c 6.317
_cell_angle_alpha 90.00
_cell_angle_beta 90.00
_cell_angle_gamma 90.00
_symmetry_space_group_name_H-M 'P 4/m m m'
_symmetry_Int_Tables_number 123
_symmetry_space_group_name_Hall '-P 4 2'
loop_
_atom_site_label
_atom_site_type_symbol
_atom_site_fract_x
_atom_site_fract_y
_atom_site_fract_z
Li1 Li 0.000 0.000 0.000
Ce1 Ce 0.000 0.000 0.500
Pt1 Pt 0.500 0.500 0.220

=====

# AcIn2Hg7 GGA-PBE relaxed
# - size of the total moment (μB/atom) = 0.000
# - calculated total energy (eV/atom) = -1.213
# - density (Mg/m³) = 9.77
data_AcIn2Hg7
_chemical_formula_sum 'Ac2 In4 Hg14'
_cell_length_a 9.995
_cell_length_b 17.713
_cell_length_c 3.571
_cell_angle_alpha 90.00
_cell_angle_beta 90.00
_cell_angle_gamma 90.00
_symmetry_space_group_name_H-M 'C m m m'
_symmetry_Int_Tables_number 65
_symmetry_space_group_name_Hall '-C 2 2'
loop_
_atom_site_label
_atom_site_type_symbol
_atom_site_fract_x
_atom_site_fract_y
_atom_site_fract_z
Ac1 Ac 0.000 0.000 0.000
In1 In 0.000 0.330 0.500
Hg1 Hg 0.000 0.193 0.000
Hg2 Hg 0.000 0.500 0.500
Hg3 Hg 0.231 0.103 0.500

=====

# Li6Sn3Ge GGA-PBE relaxed
# - size of the total moment (μB/atom) = 0.000
# - calculated total energy (eV/atom) = -3.005
# - density (Mg/m³) = 4.04
data_Li6Sn3Ge
_chemical_formula_sum 'Li18 Sn9 Ge3'
_cell_length_a 11.2634
_cell_length_b 11.2634
_cell_length_c 5.2822
_cell_angle_alpha 90.00
_cell_angle_beta 90.00
_cell_angle_gamma 120.00
_symmetry_space_group_name_H-M 'R 3 m'
_symmetry_Int_Tables_number 160
_symmetry_space_group_name_Hall 'R 3 -2"'
loop_
_atom_site_label
_atom_site_type_symbol
_atom_site_fract_x
_atom_site_fract_y
_atom_site_fract_z
Li1 Li 0.1072 0.5536 0.0000
Li2 Li 0.1761 0.0881 0.6846
Sn1 Sn 0.1697 0.3394 0.8404
Ge1 Ge 0.0000 0.0000 0.0644

=====

Which value of size of the total moment does entry 5 give?
0.000 μB/atom